No. 1
Compound: Pr3ErSb4
Source: Alexandria via LeMat-Bulk
Functional: PBE
Structure: relaxed

Cell: 7.807 7.803 9.035 Å, 90.00 90.00 109.52°
Sites, in units of the cell vectors:
Pr 0.750 0.500 0.124
Sb 0.500 0.241 0.880
Sb 0.005 0.754 0.370
Pr 0.250 0.500 0.876
Pr 0.750 0.000 0.374
Pr 0.250 0.000 0.626
Sb 0.500 0.759 0.120
Sb 0.000 0.759 0.880
Pr 0.250 0.500 0.374
Sb 0.495 0.246 0.370
Er 0.750 0.000 0.876
Er 0.250 0.000 0.124
Sb 0.505 0.754 0.630
Pr 0.750 0.500 0.626
Sb 0.000 0.241 0.120
Sb 0.995 0.246 0.630

Computed properties:
energy: -5.58 eV/atom
total magnetization: 0.0 μB per formula unit
symmetry: P2/c (13)
calculated volume: 519 Å³/cell
E_form (uncorrected): -1.1587 eV per atom

=====

No. 2
Compound: LiSc
Source: Alexandria via LeMat-Bulk
Functional: PBE
Structure: relaxed

Cell: 5.795 5.795 7.336 Å, 73.08 73.08 33.66°
Sites, in units of the cell vectors:
Li 0.989 0.989 0.084
Sc 0.325 0.325 0.899
Sc 0.639 0.639 0.722
Sc 0.953 0.953 0.545
Li 0.639 0.639 0.222
Li 0.288 0.288 0.361

Computed properties:
calculated formation energy: 0.13 eV per atom
energy: -4.00 eV/atom
total magnetization: 0.0 μB per formula unit
symmetry: C2/m (12)
calculated volume: 130 Å³/cell